1.
A plane-wave DFT calculation with PBEsol was carried out for an optimized crystal structure of SrTl2Ag.

Results
Total magnetic moment: 0.00 μB/f.u.
E_form: -0.23 eV/atom
SG: R-3m

Unit cell a=6.2628 b=6.2628 c=6.2628 alpha=44.74 beta=44.74 gamma=44.74
Last column: nearest neighbours and their distance in Å.
Fractional coordinates of all 4 atoms:
Sr: 0.0000 0.0000 0.0000  8 Tl 3.34-3.73
Tl: 0.2207 0.2207 0.2207  3 Ag 2.90
Tl: 0.7793 0.7793 0.7793  3 Ag 2.90
Ag: 0.5000 0.5000 0.5000  6 Tl 2.90

---

2.
A plane-wave DFT calculation with PBEsol was carried out for an optimized crystal structure of SrTl2Ag.

Results
Total magnetic moment: 0.00 μB/f.u.
E_form: -0.18 eV/atom
SG: P2/m

Unit cell a=3.8044 b=4.8365 c=6.0582 alpha=90.00 beta=101.94 gamma=90.00
Last column: nearest neighbours and their distance in Å.
Fractional coordinates of all 4 atoms:
Sr: 0.0000 0.0000 0.0000  2 Ag 3.23, 4 Tl 3.38
Tl: 0.3467 0.5000 0.7194  2 Ag 2.88, 1 Tl 3.12
Tl: 0.6533 0.5000 0.2806  2 Ag 2.88, 1 Tl 3.12
Ag: 0.5000 0.0000 0.5000  4 Tl 2.88

---

3.
A plane-wave DFT calculation with PBEsol was carried out for an optimized crystal structure of SrTl2Ag2.

Results
Total magnetic moment: 0.00 μB/f.u.
E_form: -0.14 eV/atom
SG: I4/mmm

Unit cell a=6.3057 b=6.3057 c=6.3057 alpha=133.04 beta=133.04 gamma=68.59
Last column: nearest neighbours and their distance in Å.
Fractional coordinates of all 5 atoms:
Sr: 0.0000 0.0000 0.0000  8 Ag 3.62, 10 Tl 3.78-3.83
Tl: 0.3629 0.3629 0.0000  4 Ag 2.77, 1 Tl 2.86
Tl: 0.6371 0.6371 0.0000  4 Ag 2.77, 1 Tl 2.86
Ag: 0.2500 0.7500 0.5000  4 Tl 2.77
Ag: 0.7500 0.2500 0.5000  4 Tl 2.77